Below is a relaxed MoAu2O crystal, with properties calculated at the PBE with a Hubbard U level.

Size of the total moment = 3.23 μB/f.u.
Space-group type = I-42d (122)
D(E_F) = 0.483 states/eV/atom
Total energy = -4.426 eV per atom

a = 6.661 Å, b = 6.661 Å, c = 6.661 Å
α = 95.06°, β = 95.06°, γ = 145.44°
Sites, in units of the cell vectors:
Mo1 0.000 0.000 0.000
Mo2 0.750 0.250 0.500
Au1 0.224 0.125 0.599
Au2 0.375 0.776 0.901
Au3 0.526 0.625 0.401
Au4 0.875 0.474 0.099
O1 0.250 0.750 0.500
O2 0.500 0.500 0.000